Record 1
DFT (GGA-PBE) results for a geometry-optimized SnGeI2O structure.

Space group: P4/mmm
Formation energy from raw total energies (kJ/mol of formula units): 357

The structure in CIF format:
```
data_SnGeI2O
_cell_length_a 5.564
_cell_length_b 5.564
_cell_length_c 5.637
_cell_angle_alpha 90.00
_cell_angle_beta 90.00
_cell_angle_gamma 90.00
_symmetry_space_group_name_H-M 'P 1'
_symmetry_Int_Tables_number 1
loop_
_symmetry_equiv_pos_as_xyz
'x,y,z'
loop_
_atom_site_label
_atom_site_type_symbol
_atom_site_fract_x
_atom_site_fract_y
_atom_site_fract_z
_atom_site_occupancy
Sn1 Sn 0.000 0.000 0.000 1
Ge1 Ge 0.000 0.000 0.500 1
I1 I 0.000 0.500 0.500 1
I2 I 0.500 0.000 0.500 1
O1 O 0.500 0.500 0.000 1
```


Record 2
DFT (GGA-PBE) results for a geometry-optimized Nd2Cu2SnRh5 structure.

Space group: P4/mbm
Calculated total energy (Ry/atom): -0.46535

The structure in CIF format:
```
data_Nd2Cu2SnRh5
_cell_length_a 9.512
_cell_length_b 9.512
_cell_length_c 3.871
_cell_angle_alpha 90.00
_cell_angle_beta 90.00
_cell_angle_gamma 90.00
_symmetry_space_group_name_H-M 'P 1'
_symmetry_Int_Tables_number 1
loop_
_symmetry_equiv_pos_as_xyz
'x,y,z'
loop_
_atom_site_label
_atom_site_type_symbol
_atom_site_fract_x
_atom_site_fract_y
_atom_site_fract_z
_atom_site_occupancy
Nd1 Nd 0.176 0.324 0.000 1
Nd2 Nd 0.324 0.824 0.000 1
Nd3 Nd 0.676 0.176 0.000 1
Nd4 Nd 0.824 0.676 0.000 1
Cu1 Cu 0.121 0.621 0.000 1
Cu2 Cu 0.379 0.121 0.000 1
Cu3 Cu 0.621 0.879 0.000 1
Cu4 Cu 0.879 0.379 0.000 1
Sn1 Sn 0.000 0.000 0.000 1
Sn2 Sn 0.500 0.500 0.000 1
Rh1 Rh 0.000 0.500 0.500 1
Rh2 Rh 0.068 0.791 0.500 1
Rh3 Rh 0.209 0.068 0.500 1
Rh4 Rh 0.291 0.568 0.500 1
Rh5 Rh 0.432 0.291 0.500 1
Rh6 Rh 0.500 0.000 0.500 1
Rh7 Rh 0.568 0.709 0.500 1
Rh8 Rh 0.709 0.432 0.500 1
Rh9 Rh 0.791 0.932 0.500 1
Rh10 Rh 0.932 0.209 0.500 1
```


What did we get for N(E_F)? Answer: 18.26; 18.90 states/eV/cell, in the order shown.